# LiSi2P

A relaxed LiSi2P crystal (PBE, Alexandria).

a b c (Å): 2.6252 2.6252 8.5360
angles (deg): 90.00 90.00 90.00
Last column: nearest neighbours and their distance in Å.
Positions (direct):
Si 0.0000 0.0000 0.0254  8 Si 2.63-2.67
Si 0.5000 0.5000 0.2495  8 Si 2.63-2.67, 4 Li 2.85
Li 0.0000 0.0000 0.5034  4 Li 2.63, 4 P 2.63, 4 Si 2.85
P 0.5000 0.5000 0.7216  4 P 2.63, 4 Li 2.63

- formation energy from raw total energies (eV/atom) = 0.199
- symmetry = No. 99



# MgTi2Se2

A relaxed MgTi2Se2 crystal (PBE, Alexandria).

a b c (Å): 4.0742 4.0742 6.7608
angles (deg): 72.46 72.46 90.00
Last column: nearest neighbours and their distance in Å.
Positions (direct):
Mg 0.0000 0.0000 0.0000  8 Se 3.24
Ti 0.2500 0.7500 0.5000  4 Se 2.57
Ti 0.7500 0.2500 0.5000  4 Se 2.57
Se 0.3782 0.3782 0.2436  4 Ti 2.57
Se 0.6218 0.6218 0.7564  4 Ti 2.57

- formation energy from raw total energies (eV/atom) = -0.603
- symmetry = No. 139



# Ba2TaZn

A relaxed Ba2TaZn crystal (PBE, Alexandria).

a b c (Å): 11.2632 11.2632 11.2632
angles (deg): 18.64 18.64 18.64
Last column: nearest neighbours and their distance in Å.
Positions (direct):
Ba 0.7678 0.7678 0.7678  3 Ta 3.46, 6 Ba 3.65
Ba 0.9797 0.9797 0.9797  3 Zn 3.33, 6 Ba 3.65
Ta 0.5171 0.5171 0.5171  3 Zn 2.71
Zn 0.2353 0.2353 0.2353  3 Ta 2.71

- symmetry = No. 160
- ΔE_f (eV/atom) = 0.7471



# CuAgCl4

A relaxed CuAgCl4 crystal (PBE, Alexandria).

a b c (Å): 5.8755 5.8755 5.8755
angles (deg): 60.00 60.00 60.00
Last column: nearest neighbours and their distance in Å.
Positions (direct):
Cl 0.3751 0.3751 0.8748  6 Cl 2.94
Cl 0.3751 0.3751 0.3751  6 Cl 2.94
Cl 0.8748 0.3751 0.3751  6 Cl 2.94
Cl 0.3751 0.8748 0.3751  6 Cl 2.94
Ag 0.0000 0.0000 0.0000  12 Cl 3.45, 4 Cu 3.60
Cu 0.7500 0.7500 0.7500  12 Cl 3.44, 4 Ag 3.60

- formation energy from raw total energies (eV/atom) = 0.700
- symmetry = No. 216



| no. | E_tot (eV per atom) |
| --- | --- |
| 1 | -4.3431 |
| 2 | -5.4732 |
| 3 | -3.4959 |
| 4 | -1.6888 |